(1)
A relaxed structure of HgTe3, computed with PBE-GGA.

**Uncorrected energy**: -9.18 eV/cell
**Uncorrected formation energy**: 3.1 kcal/mol of atoms

The structure in CIF format:
```
data_HgTe3
_space_group_name_H-M_alt 'P m m m'
_space_group_IT_number 47
_cell_length_a 3.055
_cell_length_b 5.961
_cell_length_c 7.911
_cell_angle_alpha 90.00
_cell_angle_beta 90.00
_cell_angle_gamma 90.00
loop_
_space_group_symop_operation_xyz
'x,y,z'
'-x,-y,-z'
'-x,-y,z'
'x,y,-z'
'x,-y,-z'
'-x,y,z'
'-x,y,-z'
'x,-y,z'
loop_
_atom_site_label
_atom_site_fract_x
_atom_site_fract_y
_atom_site_fract_z
Hg1 0.000 0.000 0.000
Te1 0.000 0.500 0.000
Te2 0.500 0.237 0.500
```

***

(2)
A relaxed structure of KMg2Be, computed with PBE-GGA.

**E_form**: 424 meV per atom
**Uncorrected energy**: -12.63 eV/cell

The structure in CIF format:
```
data_KMg2Be
_space_group_name_H-M_alt 'I m m 2'
_space_group_IT_number 44
_cell_length_a 3.025
_cell_length_b 4.402
_cell_length_c 16.489
_cell_angle_alpha 90.00
_cell_angle_beta 90.00
_cell_angle_gamma 90.00
loop_
_space_group_symop_operation_xyz
'x,y,z'
'-x,-y,z'
'-x,y,z'
'x,-y,z'
'x+1/2,y+1/2,z+1/2'
'-x+1/2,-y+1/2,z+1/2'
'-x+1/2,y+1/2,z+1/2'
'x+1/2,-y+1/2,z+1/2'
loop_
_atom_site_label
_atom_site_fract_x
_atom_site_fract_y
_atom_site_fract_z
K1 0.000 0.000 0.000
Mg1 0.000 0.000 0.675
Mg2 0.000 0.500 0.815
Be1 0.000 0.500 0.309
```

***

(3)
A relaxed structure of As2WSe, computed with PBE-GGA.

**Uncorrected energy**: -22.45 eV/cell
**Uncorrected formation energy**: 18.9 kcal/mol of atoms

The structure in CIF format:
```
data_As2WSe
_space_group_name_H-M_alt 'P 4/m m m'
_space_group_IT_number 123
_space_group_name_Hall '-P 4 2'
_cell_length_a 3.778
_cell_length_b 3.778
_cell_length_c 5.155
_cell_angle_alpha 90.00
_cell_angle_beta 90.00
_cell_angle_gamma 90.00
loop_
_atom_site_label
_atom_site_fract_x
_atom_site_fract_y
_atom_site_fract_z
As1 0.000 0.500 0.000
W1 0.000 0.000 0.500
Se1 0.500 0.500 0.500
```

***

(4)
A relaxed structure of Hf2AlAs, computed with PBE-GGA.

**Energy above the most stable polymorph in this dataset**: 510.2 meV/atom
**E_form**: 34 meV per atom
**Uncorrected energy**: -84.49 eV/cell

The structure in CIF format:
```
data_Hf2AlAs
_space_group_name_H-M_alt 'R -3 m'
_space_group_IT_number 166
_space_group_name_Hall '-R 3 2"'
_cell_length_a 3.5000
_cell_length_b 3.5000
_cell_length_c 26.8026
_cell_angle_alpha 90.00
_cell_angle_beta 90.00
_cell_angle_gamma 120.00
loop_
_atom_site_label
_atom_site_fract_x
_atom_site_fract_y
_atom_site_fract_z
Hf1 0.0000 0.0000 0.1047
Al1 0.0000 0.0000 0.0000
As1 0.0000 0.0000 0.5000
```

***

(5)
A relaxed structure of TlRu2Se, computed with PBE-GGA.

**Energy above the most stable polymorph in this dataset**: 41.8 meV/atom
**Uncorrected energy**: -23.10 eV/cell
**Uncorrected formation energy**: 7.5 kcal/mol of atoms

The structure in CIF format:
```
data_TlRu2Se
_space_group_name_H-M_alt 'P 1 m 1'
_space_group_IT_number 6
_cell_length_a 3.128
_cell_length_b 4.665
_cell_length_c 5.014
_cell_angle_alpha 90.00
_cell_angle_beta 90.11
_cell_angle_gamma 90.00
loop_
_space_group_symop_operation_xyz
'x,y,z'
'x,-y,z'
loop_
_atom_site_label
_atom_site_fract_x
_atom_site_fract_y
_atom_site_fract_z
Tl1 0.000 0.000 0.000
Ru1 0.001 0.500 0.675
Ru2 0.500 0.000 0.517
Se1 0.500 0.500 0.318
```

***

(6)
A relaxed structure of SiPAuO2, computed with PBE-GGA.

**Energy above the most stable polymorph in this dataset**: 1491.0 meV/atom
**Uncorrected energy**: -20.59 eV/cell
**Uncorrected formation energy**: 15.8 kcal/mol of atoms

The structure in CIF format:
```
data_SiPAuO2
_space_group_name_H-M_alt 'P 4/m m m'
_space_group_IT_number 123
_space_group_name_Hall '-P 4 2'
_cell_length_a 3.972
_cell_length_b 3.972
_cell_length_c 4.985
_cell_angle_alpha 90.00
_cell_angle_beta 90.00
_cell_angle_gamma 90.00
loop_
_atom_site_label
_atom_site_fract_x
_atom_site_fract_y
_atom_site_fract_z
Si1 0.000 0.000 0.000
P1 0.500 0.500 0.000
Au1 0.500 0.500 0.500
O1 0.000 0.500 0.500
```

***

(7)
A relaxed structure of Be2IrPb, computed with PBE-GGA.

**E_form**: 393 meV per atom
**Uncorrected energy**: -36.90 eV/cell

The structure in CIF format:
```
data_Be2IrPb
_space_group_name_H-M_alt 'C m m m'
_space_group_IT_number 65
_space_group_name_Hall '-C 2 2'
_cell_length_a 5.917
_cell_length_b 6.064
_cell_length_c 3.138
_cell_angle_alpha 90.00
_cell_angle_beta 90.00
_cell_angle_gamma 90.00
loop_
_atom_site_label
_atom_site_fract_x
_atom_site_fract_y
_atom_site_fract_z
Be1 0.250 0.250 0.000
Ir1 0.000 0.000 0.500
Pb1 0.000 0.500 0.500
```

***

(8)
A relaxed structure of Sm7Te2Au2, computed with PBE-GGA.

**Energy above the most stable polymorph in this dataset**: 0.0 meV/atom
**Uncorrected energy**: -109.69 eV/cell
**Uncorrected formation energy**: -18.8 kcal/mol of atoms

The structure in CIF format:
```
data_Sm7Te2Au2
_space_group_name_H-M_alt 'I m m 2'
_space_group_IT_number 44
_cell_length_a 4.125
_cell_length_b 16.174
_cell_length_c 9.890
_cell_angle_alpha 90.00
_cell_angle_beta 90.00
_cell_angle_gamma 90.00
loop_
_space_group_symop_operation_xyz
'x,y,z'
'-x,-y,z'
'-x,y,z'
'x,-y,z'
'x+1/2,y+1/2,z+1/2'
'-x+1/2,-y+1/2,z+1/2'
'-x+1/2,y+1/2,z+1/2'
'x+1/2,-y+1/2,z+1/2'
loop_
_atom_site_label
_atom_site_fract_x
_atom_site_fract_y
_atom_site_fract_z
Sm1 0.000 0.000 0.000
Sm2 0.000 0.124 0.413
Sm3 0.000 0.317 0.621
Sm4 0.000 0.360 0.257
Te1 0.000 0.000 0.664
Te2 0.000 0.500 0.759
Au1 0.000 0.238 0.921
```

***

Which of these has the highest uncorrected energy? HgTe3